The following is a DFT calculation (PBE) of a geometry-optimized Pr2BeGe4Pd3 structure.

Cell lengths 4.294, 4.294, 10.299 Å; angles 90.00, 90.00, 90.00 degrees
Element x y z (fractional)
Pd (0.500, 0.000, 0.869)
Pd (0.000, 0.500, 0.131)
Pd (0.000, 0.000, 0.500)
Ge (0.000, 0.500, 0.374)
Ge (0.000, 0.000, 0.000)
Ge (0.500, 0.500, 0.000)
Ge (0.500, 0.000, 0.626)
Be (0.500, 0.500, 0.500)
Pr (0.000, 0.500, 0.746)
Pr (0.500, 0.000, 0.254)

## Properties
- V (Å³/atom) = 18.99
- DOS at the Fermi energy (states/eV/f.u.) = 3.634
- total DFT energy (no corrections) (eV/atom) = -5.436
- theoretical density (g cm⁻³) = 7.88